Density functional theory data (GGA-PBE) for an optimized crystal structure of VTc2Rh.

Properties
Its density of states at the Fermi level is 29.59 states/eV/cell. The calculation puts the formation energy at 2.87 kcal/mol of atoms. For the energy, the calculation gives -146.82 eV per cell. For the magnetic moment, the calculation gives 1.223 μB/f.u.

CIF file:
```
data_VTc2Rh
_space_group_name_H-M_alt 'F m -3 m'
_space_group_IT_number 225
_space_group_name_Hall '-F 4 2 3'
_cell_length_a 6.1267
_cell_length_b 6.1267
_cell_length_c 6.1267
_cell_angle_alpha 90.00
_cell_angle_beta 90.00
_cell_angle_gamma 90.00
loop_
_atom_site_label
_atom_site_type_symbol
_atom_site_fract_x
_atom_site_fract_y
_atom_site_fract_z
V1 V 0.0000 0.0000 0.0000
Tc1 Tc 0.2500 0.2500 0.2500
Rh1 Rh 0.0000 0.0000 0.5000
```


Density functional theory data (GGA-PBE) for an optimized crystal structure of Ac3Ga2Hg4.

Properties
Its density of states at the Fermi level is 12.69 states/eV/cell. The calculation puts the formation energy at -11.16 kcal/mol of atoms. For the energy, the calculation gives -47.88 eV per cell. For the magnetic moment, the calculation gives 0.000 μB/f.u.

CIF file:
```
data_Ac3Ga2Hg4
_space_group_name_H-M_alt 'C 1 2/m 1'
_space_group_IT_number 12
_space_group_name_Hall '-C 2y'
_cell_length_a 11.8087
_cell_length_b 4.9707
_cell_length_c 9.4641
_cell_angle_alpha 90.00
_cell_angle_beta 112.26
_cell_angle_gamma 90.00
loop_
_atom_site_label
_atom_site_type_symbol
_atom_site_fract_x
_atom_site_fract_y
_atom_site_fract_z
Ac1 Ac 0.0000 0.0000 0.0000
Ac2 Ac 0.1639 0.5000 0.6694
Ga1 Ga 0.1124 0.5000 0.2802
Hg1 Hg 0.0746 0.0000 0.4015
Hg2 Hg 0.2049 0.5000 0.0464
```


Density functional theory data (GGA-PBE) for an optimized crystal structure of RbSbRh2.

Properties
Its density of states at the Fermi level is 3.12 states/eV/cell. For the energy relative to the elements, uncorrected, the calculation gives 0.3685 eV/atom. For the energy, the calculation gives -73.27 eV per cell. For the magnetic moment, the calculation gives 0.000 μB/f.u.

CIF file:
```
data_RbSbRh2
_space_group_name_H-M_alt 'I -4 2 d'
_space_group_IT_number 122
_space_group_name_Hall 'I -4 2bw'
_cell_length_a 7.8288
_cell_length_b 7.8288
_cell_length_c 7.0210
_cell_angle_alpha 90.00
_cell_angle_beta 90.00
_cell_angle_gamma 90.00
loop_
_atom_site_label
_atom_site_type_symbol
_atom_site_fract_x
_atom_site_fract_y
_atom_site_fract_z
Rb1 Rb 0.0000 0.0000 0.0000
Sb1 Sb 0.0000 0.0000 0.5000
Rh1 Rh 0.1635 0.2500 0.6250
```


Density functional theory data (GGA-PBE) for an optimized crystal structure of LaDy5Tm.

Properties
Its density of states at the Fermi level is 18.38 states/eV/cell. The calculation puts the formation energy at 25.42 kcal/mol of atoms. For the energy, the calculation gives -49.39 eV per cell. For the magnetic moment, the calculation gives 0.000 μB/f.u.

CIF file:
```
data_LaDy5Tm
_space_group_name_H-M_alt 'I m m m'
_space_group_IT_number 71
_space_group_name_Hall '-I 2 2'
_cell_length_a 5.7905
_cell_length_b 8.6359
_cell_length_c 11.8644
_cell_angle_alpha 90.00
_cell_angle_beta 90.00
_cell_angle_gamma 90.00
loop_
_atom_site_label
_atom_site_type_symbol
_atom_site_fract_x
_atom_site_fract_y
_atom_site_fract_z
La1 La 0.0000 0.0000 0.0000
Dy1 Dy 0.0000 0.0000 0.2534
Dy2 Dy 0.0000 0.3204 0.5000
Dy3 Dy 0.0000 0.5000 0.0000
Tm1 Tm 0.0000 0.0000 0.5000
```


Density functional theory data (GGA-PBE) for an optimized crystal structure of ZrPaAuC.

Properties
Its density of states at the Fermi level is 3.69 states/eV/cell. The calculation puts the formation energy at -11.94 kcal/mol of atoms. For the energy, the calculation gives -65.23 eV per cell. For the magnetic moment, the calculation gives 0.000 μB/f.u.

CIF file:
```
data_ZrPaAuC
_space_group_name_H-M_alt 'C 1 m 1'
_space_group_IT_number 8
_space_group_name_Hall 'C -2y'
_cell_length_a 5.9630
_cell_length_b 3.4284
_cell_length_c 7.5895
_cell_angle_alpha 90.00
_cell_angle_beta 105.21
_cell_angle_gamma 90.00
loop_
_atom_site_label
_atom_site_type_symbol
_atom_site_fract_x
_atom_site_fract_y
_atom_site_fract_z
Zr1 Zr 0.0000 0.0000 0.0000
Pa1 Pa 0.2891 0.5000 0.3673
Au1 Au 0.2311 0.0000 0.6950
C1 C 0.3898 0.0000 0.1690
```


Density functional theory data (GGA-PBE) for an optimized crystal structure of Cs2AuF.

Properties
Its density of states at the Fermi level is 0.00 states/eV/cell. For the energy relative to the elements, uncorrected, the calculation gives -1.4413 eV/atom. For the energy, the calculation gives -37.86 eV per cell. For the magnetic moment, the calculation gives 0.000 μB/f.u.

CIF file:
```
data_Cs2AuF
_space_group_name_H-M_alt 'R -3 m'
_space_group_IT_number 166
_space_group_name_Hall '-R 3 2"'
_cell_length_a 4.6404
_cell_length_b 4.6404
_cell_length_c 24.3469
_cell_angle_alpha 90.00
_cell_angle_beta 90.00
_cell_angle_gamma 120.00
loop_
_atom_site_label
_atom_site_type_symbol
_atom_site_fract_x
_atom_site_fract_y
_atom_site_fract_z
Cs1 Cs 0.0000 0.0000 0.2343
Au1 Au 0.0000 0.0000 0.0000
F1 F 0.0000 0.0000 0.5000
```